Compound: TlInCu
Source: Alexandria via LeMat-Bulk
Functional: PBE
Structure: relaxed

The formation energy comes out at 0.120 eV/atom.

It has space group F-43m (No. 216), with a = 6.5479 Å, b = 6.5479 Å, c = 6.5479 Å, α = 90.00°, β = 90.00° and γ = 90.00°. The distinct sites, in fractional coordinates, are Tl at (0.0000, 0.0000, 0.0000), In at (0.0000, 0.0000, 0.5000) and Cu at (0.2500, 0.2500, 0.2500).